# 1
La4OsS2Br | PBE | relaxed

Calculated values
Space-group type: P2/m
Uncorrected formation energy (eV/atom): -1.394

Cell lengths 7.3096, 4.1613, 7.5039 Å; angles 90.00, 107.65, 90.00 degrees
With the nearest neighbours (Å) after each atom.
Fractional coordinates of all 8 atoms:
1 La 0.2431 0.0000 0.2189  1 Os 2.85, 3 S 2.90-3.14, 2 Br 3.15
2 La 0.2531 0.5000 0.7689  3 S 2.89-3.09, 2 Os 2.95, 1 Br 3.09
3 La 0.7469 0.5000 0.2311  3 S 2.89-3.09, 2 Os 2.95, 1 Br 3.09
4 La 0.7569 0.0000 0.7811  1 Os 2.85, 3 S 2.90-3.14, 2 Br 3.15
5 Os 0.5000 0.0000 0.0000  6 La 2.85-2.95
6 S 0.0000 0.0000 0.5000  6 La 3.09-3.14
7 S 0.0000 0.5000 0.0000  6 La 2.89-2.90
8 Br 0.5000 0.5000 0.5000  6 La 3.09-3.15

***

# 2
TbPr2SmH | PBE | relaxed

Calculated values
Space-group type: P4/mmm

Cell lengths 5.1737, 5.1737, 5.0950 Å; angles 90.00, 90.00, 90.00 degrees
With the nearest neighbours (Å) after each atom.
Fractional coordinates of all 5 atoms:
1 Tb 0.0000 0.0000 0.0000  2 H 2.55
2 Pr 0.0000 0.5000 0.5000  2 H 2.59
3 Pr 0.5000 0.0000 0.5000  2 H 2.59
4 Sm 0.5000 0.5000 0.0000  8 Pr 3.63, 4 Tb 3.66
5 H 0.0000 0.0000 0.5000  2 Tb 2.55, 4 Pr 2.59

***

# 3
RbZrO2 | PBE | relaxed

Calculated values
Space-group type: Fm-3m
Uncorrected formation energy (eV/atom): -1.088

Cell lengths 6.0245, 6.0245, 6.0245 Å; angles 90.00, 90.00, 90.00 degrees
With the nearest neighbours (Å) after each atom.
Fractional coordinates of all 16 atoms:
1 Rb 0.0000 0.0000 0.0000  8 O 2.61
2 Rb 0.0000 0.5000 0.5000  8 O 2.61
3 Rb 0.5000 0.0000 0.5000  8 O 2.61
4 Rb 0.5000 0.5000 0.0000  8 O 2.61
5 Zr 0.0000 0.0000 0.5000  8 O 2.61
6 Zr 0.0000 0.5000 0.0000  8 O 2.61
7 Zr 0.5000 0.0000 0.0000  8 O 2.61
8 Zr 0.5000 0.5000 0.5000  8 O 2.61
9 O 0.2500 0.2500 0.2500  4 Zr 2.61, 4 Rb 2.61
10 O 0.2500 0.2500 0.7500  4 Zr 2.61, 4 Rb 2.61
11 O 0.2500 0.7500 0.2500  4 Zr 2.61, 4 Rb 2.61
12 O 0.2500 0.7500 0.7500  4 Zr 2.61, 4 Rb 2.61
13 O 0.7500 0.2500 0.2500  4 Zr 2.61, 4 Rb 2.61
14 O 0.7500 0.2500 0.7500  4 Zr 2.61, 4 Rb 2.61
15 O 0.7500 0.7500 0.2500  4 Zr 2.61, 4 Rb 2.61
16 O 0.7500 0.7500 0.7500  4 Zr 2.61, 4 Rb 2.61

***

# 4
Na2Ag3S3 | PBE | relaxed

Calculated values
Space-group type: R32
Uncorrected formation energy (eV/atom): -0.318

Cell lengths 5.7211, 5.7211, 5.7211 Å; angles 89.00, 89.00, 89.00 degrees
With the nearest neighbours (Å) after each atom.
Fractional coordinates of all 8 atoms:
1 Na 0.1964 0.1964 0.1964  3 S 2.79
2 Na 0.8036 0.8036 0.8036  3 S 2.79
3 Ag 0.2889 0.5000 0.7111  2 S 2.44
4 Ag 0.5000 0.7111 0.2889  2 S 2.44
5 Ag 0.7111 0.2889 0.5000  2 S 2.44
6 S 0.0000 0.5889 0.4111  2 Ag 2.44
7 S 0.4111 0.0000 0.5889  2 Ag 2.44
8 S 0.5889 0.4111 0.0000  2 Ag 2.44

***

What did we get for V? Answer: 217.50; 136.38; 218.65; 187.18 Å³/cell, in the order shown.
What did we get for uncorrected energy? Answer: -6.50; -4.62; -5.95; -3.26 eV/atom, in the order shown.